Here is a relaxed CdPb3O crystal from Alexandria via LeMat-Bulk. Energies are from PBE.

a b c (Å): 5.0628 5.0628 5.0628
angles (deg): 90.00 90.00 90.00
Last column: nearest neighbours and their distance in Å.
Space group Pm-3m (No. 221)
Inequivalent atoms, fractional coordinates:
Cd (0.0000, 0.0000, 0.0000) (multiplicity 1)  12 Pb 3.58
Pb (0.0000, 0.5000, 0.5000) (multiplicity 3)  2 O 2.53
O (0.5000, 0.5000, 0.5000) (multiplicity 1)  6 Pb 2.53

Calculated values
- Polymorph energy (0 for the lowest one): 0 meV/atom
- Magnetization: 0.0 μB per cell
- Formation energy without anion corrections: -5.7 kcal/mol of atoms
- Density of states at the Fermi level: 2.16 states/eV per cell
- Volume: 129.77 Å³ per cell
- Theoretical density: 9.60 g/cm3

Here is a relaxed HfInAu crystal from Alexandria via LeMat-Bulk. Energies are from PBE.

a b c (Å): 5.6667 3.1265 7.3746
angles (deg): 90.00 105.48 90.00
Last column: nearest neighbours and their distance in Å.
Space group Pm (No. 6)
Inequivalent atoms, fractional coordinates:
Hf (0.0000, 0.0000, 0.0000) (multiplicity 1)  4 Au 2.93-2.96, 3 Hf 3.13-3.24, 4 In 3.15-3.18
Hf (0.1579, 0.0000, 0.6082) (multiplicity 1)  4 Au 2.95-2.96, 4 In 3.06-3.08, 3 Hf 3.13-3.24
In (0.3687, 0.5000, 0.3269) (multiplicity 1)  3 Au 2.81-2.88, 3 In 3.00-3.13, 2 Hf 3.08
In (0.4658, 0.5000, 0.9463) (multiplicity 1)  2 Au 2.88-2.89, 3 In 3.00-3.13, 4 Hf 3.06-3.18
Au (0.7456, 0.5000, 0.6705) (multiplicity 1)  2 In 2.84-2.89, 4 Hf 2.93-2.95, 3 Au 3.00-3.13
Au (0.8505, 0.5000, 0.2924) (multiplicity 1)  3 In 2.81-2.88, 4 Hf 2.96, 3 Au 3.00-3.13

Calculated values
- Magnetization: 0.0 μB per cell
- Density of states at the Fermi level: 3.41 states/eV per cell
- Volume: 125.92 Å³ per cell
- Theoretical density: 12.93 g/cm3
- E_form: -72 kJ/mol of formula units

Here is a relaxed MgHgGe crystal from Alexandria via LeMat-Bulk. Energies are from PBE.

a b c (Å): 5.8896 4.0638 5.8900
angles (deg): 90.00 109.59 90.00
Last column: nearest neighbours and their distance in Å.
Space group P2_1/m (No. 11)
Inequivalent atoms, fractional coordinates:
Mg (0.1712, 0.2500, 0.4196) (multiplicity 2)  4 Ge 2.88-3.06, 3 Hg 2.91-2.93, 2 Mg 3.22
Hg (0.4238, 0.7500, 0.7644) (multiplicity 2)  3 Ge 2.84-3.11, 3 Mg 2.91-2.93
Ge (0.0966, 0.2500, 0.9087) (multiplicity 2)  2 Ge 2.72, 1 Hg 2.84, 3 Mg 2.88-2.89

Calculated values
- Magnetization: 0.0 μB per cell
- Density of states at the Fermi level: 2.20 states/eV per cell
- Volume: 132.81 Å³ per cell
- Theoretical density: 7.44 g/cm3
- E_form: -9 kJ/mol of formula units